SrLi2NiSn | PBE | optimized geometry

Properties
Total moment   0.0 μB/cell
Formation enthalpy at 0 K   -0.210 eV/atom

Cell lengths 4.914, 4.914, 4.855 Å; angles 90.00, 90.00, 90.00 degrees
Space group P4/mmm (No. 123)
Asymmetric unit:
Sr  0.000  0.000  0.000 [1 per cell]
Li  0.000  0.500  0.500 [2 per cell]
Ni  0.500  0.500  0.500 [1 per cell]
Sn  0.500  0.500  0.000 [1 per cell]


KRbBa2 | PBE | optimized geometry

Properties
Total moment   0.0 μB/cell
Offset from the most stable computed form   0.0004 eV/atom
Formation enthalpy at 0 K   0.106 eV/atom

Cell lengths 4.5691, 4.5691, 47.3581 Å; angles 90.00, 90.00, 120.00 degrees
Space group R3m (No. 160, hexagonal axes)
Asymmetric unit:
K  0.0000  0.0000  0.0000 [3 per cell]
Rb  0.0000  0.0000  0.8333 [3 per cell]
Ba  0.0000  0.0000  0.4146 [3 per cell]
Ba  0.0000  0.0000  0.5853 [3 per cell]


PmTmCl6 | PBE | optimized geometry

Properties
Total moment   0.0 μB/cell
Offset from the most stable computed form   0.0000 eV/atom
Energy relative to the elements, uncorrected   -2.25 eV/atom

Cell lengths 6.680, 12.668, 6.680 Å; angles 90.00, 105.85, 90.00 degrees
Space group C2/m (No. 12)
Asymmetric unit:
Pm  0.000  0.000  0.000 [2 per cell]
Tm  0.000  0.500  0.500 [2 per cell]
Cl  0.239  0.360  0.741 [8 per cell]
Cl  0.247  0.500  0.257 [4 per cell]


Tb5Y12Tm3 | PBE | optimized geometry

Properties
Total moment   0.0 μB/cell
Formation enthalpy at 0 K   1.074 eV/atom

Cell lengths 18.812, 18.812, 18.812 Å; angles 90.00, 90.00, 90.00 degrees
Space group Ia-3d (No. 230)
Asymmetric unit:
Tb  0.000  0.000  0.000 [16 per cell]
Tb  0.000  0.250  0.375 [24 per cell]
Y  0.007  0.081  0.646 [96 per cell]
Tm  0.000  0.250  0.125 [24 per cell]


RbLi2CuGe | PBE | optimized geometry

Properties
Total moment   0.0 μB/cell
Formation enthalpy at 0 K   -0.057 eV/atom

Cell lengths 5.129, 5.129, 4.701 Å; angles 90.00, 90.00, 90.00 degrees
Space group P4/mmm (No. 123)
Asymmetric unit:
Rb  0.000  0.000  0.000 [1 per cell]
Li  0.000  0.500  0.500 [2 per cell]
Cu  0.500  0.500  0.000 [1 per cell]
Ge  0.500  0.500  0.500 [1 per cell]


PmNdSm | PBE | optimized geometry

Properties
Total moment   0.0 μB/cell
Offset from the most stable computed form   0.0013 eV/atom
Formation enthalpy at 0 K   0.012 eV/atom

Cell lengths 6.373, 3.674, 9.131 Å; angles 90.00, 103.65, 90.00 degrees
Space group Cm (No. 8)
Asymmetric unit:
Pm  0.000  0.000  0.000 [2 per cell]
Nd  0.060  0.500  0.662 [2 per cell]
Sm  0.279  0.500  0.329 [2 per cell]


PuPaAlRe | PBE | optimized geometry

Properties
Total moment   20.6 μB/cell
Formation enthalpy at 0 K   -0.109 eV/atom

Cell lengths 6.760, 6.760, 6.760 Å; angles 90.00, 90.00, 90.00 degrees
Space group F-43m (No. 216)
Asymmetric unit:
Pu  0.000  0.000  0.000 [4 per cell]
Pa  0.250  0.250  0.250 [4 per cell]
Al  0.250  0.250  0.750 [4 per cell]
Re  0.000  0.000  0.500 [4 per cell]


Ca2MgScO | PBE | optimized geometry

Properties
Total moment   0.0 μB/cell
Energy relative to the elements, uncorrected   -1.13 eV/atom

Cell lengths 5.218, 5.218, 4.229 Å; angles 90.00, 90.00, 90.00 degrees
Space group P4/mmm (No. 123)
Asymmetric unit:
Ca  0.000  0.500  0.000 [2 per cell]
Mg  0.000  0.000  0.500 [1 per cell]
Sc  0.500  0.500  0.500 [1 per cell]
O  0.500  0.500  0.000 [1 per cell]


Te2PbIN | PBE | optimized geometry

Properties
Total moment   0.0 μB/cell
Offset from the most stable computed form   0.0000 eV/atom
Energy relative to the elements, uncorrected   0.57 eV/atom

Cell lengths 5.045, 5.045, 4.957 Å; angles 90.00, 90.00, 90.00 degrees
Space group P4/mmm (No. 123)
Asymmetric unit:
Te  0.000  0.500  0.000 [2 per cell]
Pb  0.000  0.000  0.500 [1 per cell]
I  0.500  0.500  0.500 [1 per cell]
N  0.500  0.500  0.000 [1 per cell]


Number 1: theoretical density 3951 kg/m3, density of states at the Fermi level 2.7 states/eV/cell. Number 2: theoretical density 2323 kg/m3, density of states at the Fermi level 15.9 states/eV/cell. Number 3: theoretical density 3216 kg/m3, density of states at the Fermi level 0.0 states/eV/cell. Number 4: theoretical density 4726 kg/m3, density of states at the Fermi level 325.3 states/eV/cell. Number 5: theoretical density 3162 kg/m3, density of states at the Fermi level 0.6 states/eV/cell. Number 6: theoretical density 7028 kg/m3, density of states at the Fermi level 8.0 states/eV/cell. Number 7: theoretical density 14800 kg/m3, density of states at the Fermi level 23.9 states/eV/cell. Number 8: theoretical density 2385 kg/m3, density of states at the Fermi level 3.8 states/eV/cell. Number 9: theoretical density 7939 kg/m3, density of states at the Fermi level 2.4 states/eV/cell.